1.
A relaxed structure of YMo2Br. Source: the Alexandria database, functional PBE.

a = 3.251 Å, b = 3.331 Å, c = 15.654 Å
α = 90.00°, β = 90.00°, γ = 90.00°
Space group Amm2 (No. 38)
Asymmetric unit:
1 Y 0.000 0.000 0.000 x2
2 Mo 0.000 0.000 0.211 x2
3 Mo 0.500 0.000 0.631 x2
4 Br 0.500 0.000 0.364 x2

Values from the calculation:
DOS(E_F) = 1.0682 states/eV per atom
E_form (uncorrected) = -0.2 eV/f.u.

---

2.
A relaxed structure of YMoBr2. Source: the Alexandria database, functional PBE.

a = 4.822 Å, b = 4.822 Å, c = 3.617 Å
α = 90.00°, β = 90.00°, γ = 90.00°
Space group P4/mmm (No. 123)
Asymmetric unit:
1 Y 0.000 0.000 0.000 x1
2 Mo 0.500 0.500 0.000 x1
3 Br 0.000 0.500 0.500 x2

Values from the calculation:
DOS(E_F) = 0.5575 states/eV per atom
E_form (uncorrected) = 0.4 eV/f.u.

---

3.
A relaxed structure of YMoBr2. Source: the Alexandria database, functional PBE.

a = 6.645 Å, b = 9.418 Å, c = 3.639 Å
α = 90.00°, β = 121.54°, γ = 90.00°
Space group C2/m (No. 12)
Asymmetric unit:
1 Y 0.000 0.000 0.000 x2
2 Mo 0.000 0.500 0.000 x2
3 Br 0.250 0.250 0.000 x4

Values from the calculation:
DOS(E_F) = 0.6611 states/eV per atom
E_form (uncorrected) = 0.0 eV/f.u.

---

4.
A relaxed structure of YMoBr2. Source: the Alexandria database, functional PBE.

a = 7.425 Å, b = 7.425 Å, c = 7.425 Å
α = 90.00°, β = 90.00°, γ = 90.00°
Space group F-43m (No. 216)
Asymmetric unit:
1 Y 0.000 0.000 0.000 x4
2 Mo 0.250 0.250 0.250 x4
3 Br 0.000 0.000 0.500 x4
4 Br 0.250 0.250 0.750 x4

Values from the calculation:
DOS(E_F) = 0.8766 states/eV per atom
E_form (uncorrected) = 1.6 eV/f.u.

---

5.
A relaxed structure of YMoBr2. Source: the Alexandria database, functional PBE.

a = 3.549 Å, b = 4.639 Å, c = 14.125 Å
α = 90.00°, β = 90.00°, γ = 90.00°
Space group Immm (No. 71)
Asymmetric unit:
1 Y 0.000 0.000 0.000 x2
2 Mo 0.000 0.000 0.500 x2
3 Br 0.000 0.500 0.141 x4

Values from the calculation:
DOS(E_F) = 0.4978 states/eV per atom
E_form (uncorrected) = -1.3 eV/f.u.

---

6.
A relaxed structure of YMoBr2. Source: the Alexandria database, functional PBE.

a = 3.421 Å, b = 4.660 Å, c = 5.886 Å
α = 90.00°, β = 90.00°, γ = 90.00°
Space group Pmmm (No. 47)
Asymmetric unit:
1 Y 0.000 0.000 0.000 x1
2 Mo 0.500 0.000 0.500 x1
3 Br 0.000 0.500 0.500 x1
4 Br 0.500 0.500 0.000 x1

Values from the calculation:
DOS(E_F) = 0.5108 states/eV per atom
E_form (uncorrected) = 0.1 eV/f.u.

---

7.
A relaxed structure of YMoBr2. Source: the Alexandria database, functional PBE.

a = 3.6010 Å, b = 3.6010 Å, c = 28.8337 Å
α = 90.00°, β = 90.00°, γ = 120.00°
Space group R3m (No. 160, hexagonal axes)
Asymmetric unit:
1 Y 0.0000 0.0000 0.0000 x3
2 Mo 0.0000 0.0000 0.7464 x3
3 Br 0.0000 0.0000 0.2633 x3
4 Br 0.0000 0.0000 0.4665 x3

Values from the calculation:
DOS(E_F) = 0.4854 states/eV per atom
E_form (uncorrected) = -1.8 eV/f.u.

---

8.
A relaxed structure of YMo2Br. Source: the Alexandria database, functional PBE.

a = 3.744 Å, b = 3.744 Å, c = 5.780 Å
α = 90.00°, β = 90.00°, γ = 90.00°
Space group P4/mmm (No. 123)
Asymmetric unit:
1 Y 0.000 0.000 0.000 x1
2 Mo 0.500 0.500 0.295 x2
3 Br 0.000 0.000 0.500 x1

Values from the calculation:
DOS(E_F) = 0.7020 states/eV per atom
E_form (uncorrected) = 3.1 eV/f.u.

---

9.
A relaxed structure of YMo2Br. Source: the Alexandria database, functional PBE.

a = 3.433 Å, b = 4.227 Å, c = 5.417 Å
α = 90.00°, β = 90.00°, γ = 90.00°
Space group Pmmm (No. 47)
Asymmetric unit:
1 Y 0.000 0.000 0.000 x1
2 Mo 0.000 0.500 0.500 x1
3 Mo 0.500 0.000 0.500 x1
4 Br 0.500 0.500 0.000 x1

Values from the calculation:
DOS(E_F) = 0.8306 states/eV per atom
E_form (uncorrected) = 1.6 eV/f.u.

---

10.
A relaxed structure of YMo2Br. Source: the Alexandria database, functional PBE.

a = 3.496 Å, b = 4.934 Å, c = 9.224 Å
α = 90.00°, β = 90.00°, γ = 90.00°
Space group Cmmm (No. 65)
Asymmetric unit:
1 Y 0.000 0.000 0.000 x2
2 Mo 0.000 0.500 0.266 x4
3 Br 0.000 0.000 0.500 x2

Values from the calculation:
DOS(E_F) = 1.2822 states/eV per atom
E_form (uncorrected) = 3.3 eV/f.u.

---

11.
A relaxed structure of YMoBr2. Source: the Alexandria database, functional PBE.

a = 14.720 Å, b = 3.600 Å, c = 4.856 Å
α = 90.00°, β = 93.23°, γ = 90.00°
Space group C2/m (No. 12)
Asymmetric unit:
1 Y 0.000 0.000 0.000 x2
2 Mo 0.000 0.500 0.500 x2
3 Br 0.145 0.500 0.221 x4

Values from the calculation:
DOS(E_F) = 0.4606 states/eV per atom
E_form (uncorrected) = -1.1 eV/f.u.

---

12.
A relaxed structure of YMo2Br. Source: the Alexandria database, functional PBE.

a = 3.319 Å, b = 5.612 Å, c = 4.732 Å
α = 90.00°, β = 91.72°, γ = 90.00°
Space group P2/m (No. 10)
Asymmetric unit:
1 Y 0.000 0.000 0.000 x1
2 Mo 0.266 0.500 0.188 x2
3 Br 0.500 0.000 0.500 x1

Values from the calculation:
DOS(E_F) = 0.9539 states/eV per atom
E_form (uncorrected) = 1.4 eV/f.u.

---

13.
A relaxed structure of YMo2Br. Source: the Alexandria database, functional PBE.

a = 5.504 Å, b = 11.038 Å, c = 3.286 Å
α = 90.00°, β = 126.58°, γ = 90.00°
Space group C2/m (No. 12)
Asymmetric unit:
1 Y 0.000 0.000 0.000 x2
2 Mo 0.250 0.250 0.500 x4
3 Br 0.000 0.500 0.000 x2

Values from the calculation:
DOS(E_F) = 0.9912 states/eV per atom
E_form (uncorrected) = 1.7 eV/f.u.

---

14.
A relaxed structure of YMo2Br. Source: the Alexandria database, functional PBE.

a = 3.058 Å, b = 3.058 Å, c = 8.390 Å
α = 90.00°, β = 90.00°, γ = 90.00°
Space group P4/mmm (No. 123)
Asymmetric unit:
1 Y 0.000 0.000 0.000 x1
2 Mo 0.500 0.500 0.285 x2
3 Br 0.000 0.000 0.500 x1

Values from the calculation:
DOS(E_F) = 1.1597 states/eV per atom
E_form (uncorrected) = 3.4 eV/f.u.

---

15.
A relaxed structure of YMo2Br. Source: the Alexandria database, functional PBE.

a = 3.413 Å, b = 5.484 Å, c = 9.160 Å
α = 90.00°, β = 90.00°, γ = 90.00°
Space group Imm2 (No. 44)
Asymmetric unit:
1 Y 0.000 0.000 0.000 x2
2 Mo 0.000 0.000 0.511 x2
3 Mo 0.000 0.500 0.198 x2
4 Br 0.000 0.500 0.768 x2

Values from the calculation:
DOS(E_F) = 0.7134 states/eV per atom
E_form (uncorrected) = 1.7 eV/f.u.

---

16.
A relaxed structure of YMo2Br. Source: the Alexandria database, functional PBE.

a = 11.613 Å, b = 3.356 Å, c = 4.655 Å
α = 90.00°, β = 100.05°, γ = 90.00°
Space group C2/m (No. 12)
Asymmetric unit:
1 Y 0.000 0.000 0.000 x2
2 Mo 0.223 0.500 0.815 x4
3 Br 0.000 0.500 0.500 x2

Values from the calculation:
DOS(E_F) = 0.9948 states/eV per atom
E_form (uncorrected) = 1.1 eV/f.u.

---

17.
A relaxed structure of YMoBr2. Source: the Alexandria database, functional PBE.

a = 3.363 Å, b = 4.289 Å, c = 13.691 Å
α = 90.00°, β = 90.00°, γ = 90.00°
Space group Imm2 (No. 44)
Asymmetric unit:
1 Y 0.000 0.000 0.000 x2
2 Mo 0.000 0.500 0.327 x2
3 Br 0.000 0.000 0.605 x2
4 Br 0.000 0.500 0.847 x2

Values from the calculation:
DOS(E_F) = 0.6901 states/eV per atom
E_form (uncorrected) = -0.4 eV/f.u.

---

18.
A relaxed structure of YMo2Br. Source: the Alexandria database, functional PBE.

a = 5.303 Å, b = 9.769 Å, c = 3.077 Å
α = 90.00°, β = 90.00°, γ = 90.00°
Space group Cmmm (No. 65)
Asymmetric unit:
1 Y 0.000 0.000 0.000 x2
2 Mo 0.250 0.250 0.500 x4
3 Br 0.000 0.500 0.000 x2

Values from the calculation:
DOS(E_F) = 0.6019 states/eV per atom
E_form (uncorrected) = 2.8 eV/f.u.

---

19.
A relaxed structure of YMo2Br. Source: the Alexandria database, functional PBE.

a = 3.3984 Å, b = 3.3984 Å, c = 26.6536 Å
α = 90.00°, β = 90.00°, γ = 120.00°
Space group R3m (No. 160, hexagonal axes)
Asymmetric unit:
1 Y 0.0000 0.0000 0.0000 x3
2 Mo 0.0000 0.0000 0.4827 x3
3 Mo 0.0000 0.0000 0.7584 x3
4 Br 0.0000 0.0000 0.2519 x3

Values from the calculation:
DOS(E_F) = 0.5529 states/eV per atom
E_form (uncorrected) = 0.3 eV/f.u.

---

20.
A relaxed structure of YMoBr2. Source: the Alexandria database, functional PBE.

a = 7.005 Å, b = 7.005 Å, c = 7.005 Å
α = 90.00°, β = 90.00°, γ = 90.00°
Space group Fm-3m (No. 225)
Asymmetric unit:
1 Y 0.000 0.000 0.000 x4
2 Mo 0.000 0.000 0.500 x4
3 Br 0.250 0.250 0.250 x8

Values from the calculation:
DOS(E_F) = 0.3369 states/eV per atom
E_form (uncorrected) = 0.3 eV/f.u.